Record 1
This record from Alexandria describes an optimized crystal structure of ZrTaRe2. The functional is PBE-GGA.

Geometry as POSCAR:
```
ZrTaRe2
1.0
-2.370 -0.406 1.504
2.266 -0.926 1.432
0.989 8.291 3.797
Re Ta Zr
2 1 1
direct
0.000 0.000 0.014
0.500 0.500 0.244
0.000 0.000 0.482
0.500 0.500 0.760
```

- SG = Cmm2, No. 35
- E_form (eV per atom) = 0.066
- mass density (kg/m³) = 15505

=====

Record 2
This record from Alexandria describes an optimized crystal structure of Th6PdS5. The functional is PBE-GGA.

Geometry as POSCAR:
```
Th6PdS5
1.0
-5.884 -2.109 3.304
0.516 -0.542 -7.030
4.372 -5.241 1.913
S Pd Th
5 1 6
direct
0.837 0.163 0.500
0.668 0.332 0.000
0.500 0.500 0.500
0.332 0.668 0.000
0.163 0.837 0.500
0.000 0.000 0.000
0.424 0.086 0.253
0.914 0.576 0.747
0.256 0.256 0.748
0.744 0.744 0.252
0.086 0.424 0.253
0.576 0.914 0.747
```

- final energy (Ry/atom) = -0.550
- SG = C2/m, No. 12
- mass density (kg/m³) = 9543

=====

Record 3
This record from Alexandria describes an optimized crystal structure of TlAsIr2. The functional is PBE-GGA.

Geometry as POSCAR:
```
TlAsIr2
1.0
-0.248 3.564 4.141
-4.599 -2.900 -0.593
-0.275 -1.624 2.471
Tl Ir As
1 2 1
direct
0.500 0.000 0.500
0.000 0.000 0.000
0.500 0.500 0.000
0.000 0.500 0.500
```

- excess energy over the best structure of this formula in the dataset (eV/atom) = 0.397
- SG = C2/m, No. 12
- E_form (eV per atom) = 0.641
- mass density (kg/m³) = 15586

=====

Record 4
This record from Alexandria describes an optimized crystal structure of TbDyGePd. The functional is PBE-GGA.

Geometry as POSCAR:
```
TbDyGePd
1.0
3.929 0.000 0.000
0.000 4.301 0.000
-1.965 0.000 5.457
Tb Dy Ge Pd
1 1 1 1
direct
0.860 0.500 0.720
0.138 0.000 0.276
0.582 0.500 0.165
0.420 0.000 0.839
```

- excess energy over the best structure of this formula in the dataset (eV/atom) = 0.000
- SG = Amm2, No. 38
- E_form (eV per atom) = -0.890
- mass density (kg/m³) = 9010

=====

Record 5
This record from Alexandria describes an optimized crystal structure of SiAsOs2. The functional is PBE-GGA.

Geometry as POSCAR:
```
SiAsOs2
1.0
-3.234 1.032 2.620
-4.286 0.108 0.077
-1.058 -4.415 2.042
As Os Si
1 2 1
direct
0.750 0.750 0.750
0.986 0.986 0.005
0.514 0.514 0.495
0.250 0.250 0.250
```

- excess energy over the best structure of this formula in the dataset (eV/atom) = 0.077
- SG = C2/m, No. 12
- mass density (kg/m³) = 14085

=====

Record 6
This record from Alexandria describes an optimized crystal structure of Ac2Dy3Y. The functional is PBE-GGA.

Geometry as POSCAR:
```
Ac2Dy3Y
1.0
-3.481 0.732 6.703
7.903 -4.152 0.262
2.005 7.233 0.252
Ac Dy Y
4 6 2
direct
0.316 0.633 0.408
0.318 0.633 0.908
0.682 0.367 0.092
0.684 0.367 0.592
0.713 0.000 0.750
0.287 0.000 0.250
0.887 0.772 0.943
0.114 0.228 0.557
0.886 0.772 0.443
0.113 0.228 0.057
0.709 0.000 0.250
0.291 0.000 0.750
```

- SG = C2/c, No. 15
- E_form (eV per atom) = 0.141
- mass density (kg/m³) = 7636

=====

Record 7
This record from Alexandria describes an optimized crystal structure of Si3Tc. The functional is PBE-GGA.

Geometry as POSCAR:
```
Si3Tc
1.0
3.775 0.000 0.000
0.000 3.775 0.000
0.000 0.000 3.775
Si Tc
3 1
direct
0.000 0.500 0.500
0.500 0.000 0.500
0.500 0.500 0.000
0.000 0.000 0.000
```

- excess energy over the best structure of this formula in the dataset (eV/atom) = 0.477
- SG = Pm-3m, No. 221
- mass density (kg/m³) = 5624

=====

Record 8
This record from Alexandria describes an optimized crystal structure of TlZnRhO4. The functional is PBE-GGA.

Geometry as POSCAR:
```
TlZnRhO4
1.0
-5.389 3.286 0.263
-3.608 0.575 -5.238
-5.589 -3.062 -0.410
Tl Zn Rh O
2 2 2 8
direct
0.000 0.000 0.000
0.000 0.500 0.500
0.615 0.635 0.135
0.385 0.365 0.865
0.500 0.000 0.500
0.000 0.000 0.500
0.745 0.784 0.725
0.255 0.775 0.716
0.745 0.225 0.284
0.255 0.216 0.275
0.232 0.772 0.272
0.725 0.772 0.272
0.275 0.228 0.728
0.768 0.228 0.728
```

- final energy (Ry/atom) = -0.385
- SG = Imma, No. 74
- mass density (kg/m³) = 7935

=====

Record 9
This record from Alexandria describes an optimized crystal structure of Th6ReTe3Ir2. The functional is PBE-GGA.

Geometry as POSCAR:
```
Th6ReTe3Ir2
1.0
4.213 0.000 0.000
0.000 9.097 -0.141
-2.106 -3.112 9.298
Th Re Te Ir
6 1 3 2
direct
0.347 0.893 0.693
0.677 0.556 0.354
0.653 0.107 0.307
0.009 0.219 0.019
0.991 0.781 0.981
0.323 0.444 0.646
0.500 0.000 0.000
0.500 0.500 0.000
0.833 0.168 0.666
0.167 0.832 0.334
0.832 0.665 0.664
0.168 0.335 0.336
```

- final energy (Ry/atom) = -0.585
- SG = C2/m, No. 12
- mass density (kg/m³) = 10989

=====

Record 10
This record from Alexandria describes an optimized crystal structure of Re2BrCl2. The functional is PBE-GGA.

Geometry as POSCAR:
```
Re2BrCl2
1.0
11.006 0.000 0.000
0.000 11.006 0.000
0.000 0.000 2.738
Re Br Cl
4 2 4
direct
0.075 0.575 0.500
0.575 0.925 0.500
0.925 0.425 0.500
0.425 0.075 0.500
0.000 0.000 0.000
0.500 0.500 0.000
0.201 0.701 0.000
0.701 0.799 0.000
0.799 0.299 0.000
0.299 0.201 0.000
```

- excess energy over the best structure of this formula in the dataset (eV/atom) = 0.000
- SG = P4/mbm, No. 127
- mass density (kg/m³) = 5238

=====

Record 11
This record from Alexandria describes an optimized crystal structure of Y3In4Au2. The functional is PBE-GGA.

Geometry as POSCAR:
```
Y3In4Au2
1.0
-4.744 0.757 -0.073
-3.247 -4.989 1.172
-2.467 0.582 8.303
Y In Au
3 4 2
direct
0.325 0.701 0.650
0.000 0.000 0.000
0.675 0.299 0.350
0.265 0.393 0.077
0.735 0.607 0.923
0.030 0.303 0.637
0.970 0.697 0.363
0.398 0.931 0.273
0.602 0.069 0.727
```

- SG = C2/m, No. 12
- E_form (eV per atom) = -0.600
- mass density (kg/m³) = 8492

=====

Record 12
This record from Alexandria describes an optimized crystal structure of RbRh4. The functional is PBE-GGA.

Geometry as POSCAR:
```
RbRh4
1.0
-0.694 -0.469 -4.678
-2.052 -4.224 0.727
-4.229 2.126 0.414
Rh Rb
4 1
direct
0.000 0.000 0.000
0.500 0.000 0.500
0.000 0.500 0.500
0.500 0.500 0.000
0.500 0.500 0.500
```

- SG = Pm-3m, No. 221
- E_form (eV per atom) = 2.570
- mass density (kg/m³) = 7693